1.
First-principles (PBE) data for a geometry-optimized NaLi2Br3 structure, as listed in Alexandria via LeMat-Bulk.

Cell lengths 7.568, 7.568, 7.385 Å; angles 98.95, 98.95, 120.71 degrees
Positions (direct):
Na (0.101, 0.922, 0.501)
Na (0.922, 0.101, 0.001)
Li (0.591, 0.427, 0.007)
Li (0.757, 0.268, 0.508)
Li (0.427, 0.591, 0.507)
Li (0.268, 0.757, 0.008)
Br (0.055, 0.250, 0.406)
Br (0.250, 0.055, 0.906)
Br (0.883, 0.420, 0.876)
Br (0.420, 0.883, 0.376)
Br (0.529, 0.691, 0.874)
Br (0.691, 0.529, 0.374)

Computed properties:
Its crystal system is monoclinic. Its magnetic moment is 0.000 μB/f.u. The energy above the most stable polymorph in this dataset comes out at 0.0 meV per atom.

=====

2.
First-principles (PBE) data for a geometry-optimized CaMn2Rh structure, as listed in Alexandria via LeMat-Bulk.

Cell lengths 4.055, 4.056, 4.319 Å; angles 90.00, 90.00, 89.98 degrees
Site moments in Bohr magnetons follow the coordinates.
Positions (direct):
Ca (0.000, 0.500, 0.500)  0.00
Mn (0.000, 0.000, 0.000)  3.81
Mn (0.500, 0.500, 0.000)  3.81
Rh (0.500, 0.000, 0.500)  0.44

Computed properties:
Its crystal system is tetragonal. Its magnetic moment is 8.552 μB/f.u. The value obtained for the raw total energy is -6.68 eV per atom.

=====

3.
First-principles (PBE) data for a geometry-optimized YMg2Co structure, as listed in Alexandria via LeMat-Bulk.

Cell lengths 3.188, 3.188, 7.916 Å; angles 90.00, 90.00, 90.00 degrees
Positions (direct):
Co (0.500, 0.500, 0.750)
Mg (0.000, 0.000, 0.931)
Mg (0.000, 0.000, 0.569)
Y (0.500, 0.500, 0.250)

Computed properties:
Its crystal system is tetragonal. Its magnetic moment is 0.000 μB/f.u. The value obtained for the raw total energy is -4.06 eV per atom.

=====

- Among the records above, which one has the highest magnetic moment?
  CaMn2Rh